Compound: Cr4AgSe8
Source: Alexandria via LeMat-Bulk
Functional: PBE
Structure: relaxed

Results
Energy: -5.760 eV per atom

Cell lengths 10.4427, 10.4427, 10.4427 Å; angles 90.00, 90.00, 90.00 degrees
Space group F-43m (No. 216)
Unique sites:
Cr1 0.1174 0.1174 0.1174 (multiplicity 16)
Ag1 0.0000 0.0000 0.5000 (multiplicity 4)
Se1 0.1210 0.1210 0.8790 (multiplicity 16)
Se2 0.1398 0.1398 0.3602 (multiplicity 16)